Entry 1:
Here is a geometry-optimized PmTl2 structure from Alexandria via LeMat-Bulk. Energies are from GGA-PBE.

The space group is I4/mmm (No. 139) and the conventional cell measures 3.720, 3.720 and 12.524 Å, with angles of 90.00, 90.00 and 90.00 degrees. Symmetry generates all atoms from Pm at (0.000, 0.000, 0.000) and Tl at (0.000, 0.000, 0.329).



Entry 2:
Here is a geometry-optimized Pm5Tl3 structure from Alexandria via LeMat-Bulk. Energies are from GGA-PBE.

The space group is P6_3/mcm (No. 193) and the conventional cell measures 9.2572, 9.2572 and 6.8659 Å, with angles of 90.00, 90.00 and 120.00 degrees. Symmetry generates all atoms from Pm at (0.0000, 0.2358, 0.2500), Pm at (0.3333, 0.6667, 0.0000) and Tl at (0.0000, 0.4027, 0.7500).



no.,energy of formation from the pure elements (eV/atom),total magnetization (Bohr magnetons per cell)
1,-0.187,0.0
2,-0.292,0.0